The following is a PBE+U calculation of a geometry-optimized MoP2RhO structure, from Alexandria via LeMat-Bulk.

Structure (POSCAR):
```
MoP2RhO
1.0
-0.477 -3.795 2.871
4.686 -0.877 -0.380
0.643 2.155 2.956
P Mo Rh O
2 1 1 1
Direct
0.000 0.500 0.000
0.500 0.000 0.000
0.000 0.000 0.000
0.500 0.500 0.500
0.000 0.000 0.500
```

## Properties
Space group: P4/mmm
Energy (eV per atom): -5.66
Total magnetic moment (Bohr magnetons per cell): 0.62


The following is a PBE+U calculation of a geometry-optimized MoP2RuO structure, from Alexandria via LeMat-Bulk.

Structure (POSCAR):
```
MoP2RuO
1.0
-2.251 -3.425 2.535
-1.014 -2.355 -4.081
3.121 -1.839 0.286
Ru Mo O P
1 1 1 2
Direct
0.000 0.000 0.000
0.500 0.500 0.500
0.000 0.000 0.500
0.000 0.500 0.000
0.500 0.000 0.000
```

## Properties
Space group: P4/mmm
Energy (eV per atom): -6.13
Total magnetic moment (Bohr magnetons per cell): 3.64